Density functional theory data (PBE-GGA) for crystalline LaPrAs2Pd2O2 at its relaxed geometry.

The calculation puts the total DFT energy (no corrections) at -6.774 eV/atom.

abc: 4.2348 4.2348 8.2488
angles: 90.00 90.00 90.00
Positions (direct):
As (0.0000, 0.0000, 0.3385)
La (0.5000, 0.5000, 0.1360)
As (0.5000, 0.5000, 0.6633)
Pd (0.0000, 0.5000, 0.5014)
Pd (0.5000, 0.0000, 0.5014)
Pr (0.0000, 0.0000, 0.8614)
O (0.0000, 0.5000, 0.9990)
O (0.5000, 0.0000, 0.9990)

***

Density functional theory data (PBE-GGA) for crystalline ScBeCuBi at its relaxed geometry.

The calculation puts the total DFT energy (no corrections) at -4.192 eV/atom.

abc: 4.7203 4.7203 4.7203
angles: 60.00 60.00 60.00
Positions (direct):
Sc (0.7500, 0.7500, 0.7500)
Bi (0.0000, 0.0000, 0.0000)
Cu (0.5000, 0.5000, 0.5000)
Be (0.2500, 0.2500, 0.2500)

***

Density functional theory data (PBE-GGA) for crystalline PaInNi at its relaxed geometry.

The calculation puts the total DFT energy (no corrections) at -5.234 eV/atom.

abc: 4.7692 4.7692 4.7692
angles: 60.00 60.00 60.00
Positions (direct):
Ni (0.0000, 0.0000, 0.0000)
Pa (0.2500, 0.2500, 0.2500)
In (0.5000, 0.5000, 0.5000)

***

Density functional theory data (PBE-GGA) for crystalline SbAu15 at its relaxed geometry.

The calculation puts the total DFT energy (no corrections) at -3.292 eV/atom.

abc: 4.1358 8.1555 37.5165
angles: 90.06 90.00 90.05
Positions (direct):
Au (0.0001, 0.6247, 0.5835)
Au (0.0026, 0.8902, 0.0754)
Au (0.5000, 0.8751, 0.4719)
Au (0.5009, 0.1313, 0.8629)
Au (0.0000, 0.6249, 0.4719)
Au (0.5002, 0.8749, 0.8077)
Au (0.0002, 0.1253, 0.5834)
Au (0.9998, 0.6251, 0.2483)
Au (0.9999, 0.8728, 0.1922)
Au (0.4999, 0.8750, 0.5834)
Au (0.0000, 0.3835, 0.8684)
Au (0.9994, 0.8706, 0.8628)
Au (0.0000, 0.3751, 0.5281)
Au (0.4999, 0.8750, 0.6951)
Au (0.4999, 0.6257, 0.6396)
Au (0.5000, 0.1250, 0.4166)
Au (0.5000, 0.3736, 0.2483)
Au (0.0002, 0.3749, 0.6396)
Au (0.0002, 0.1257, 0.6951)
Au (0.0002, 0.3748, 0.7517)
Au (0.9998, 0.8742, 0.3049)
Au (0.4991, 0.8686, 0.1371)
Au (0.9998, 0.6232, 0.8081)
Au (0.9972, 0.1101, 0.9245)
Au (0.4970, 0.1131, 0.0760)
Au (0.0002, 0.8753, 0.6395)
Au (0.4996, 0.6222, 0.1920)
Sb (0.5001, 0.6736, 0.0717)
Au (0.5001, 0.6238, 0.3047)
Au (0.5000, 0.6244, 0.4165)
Sb (0.4998, 0.3267, 0.9283)
Au (0.5000, 0.1249, 0.5281)
Au (0.9998, 0.3753, 0.3047)
Au (0.5004, 0.3778, 0.8080)
Au (0.0000, 0.6165, 0.1316)
Au (0.0001, 0.1271, 0.8078)
Au (0.4999, 0.3756, 0.5835)
Au (0.5000, 0.6263, 0.7517)
Au (0.5000, 0.3750, 0.4719)
Sb (0.0005, 0.6694, 0.9277)
Au (0.4999, 0.3762, 0.6953)
Au (0.5000, 0.6250, 0.5281)
Au (0.4998, 0.3822, 0.1323)
Sb (0.9994, 0.3308, 0.0723)
Au (0.9998, 0.6251, 0.3604)
Au (0.4999, 0.8743, 0.2488)
Au (0.5000, 0.1249, 0.3049)
Au (0.5001, 0.1256, 0.7512)
Au (0.0000, 0.3752, 0.4165)
Au (0.5002, 0.6177, 0.8677)
Au (0.9998, 0.1244, 0.2488)
Au (0.5001, 0.8747, 0.3605)
Au (0.5001, 0.3743, 0.3604)
Au (0.4999, 0.1252, 0.6395)
Au (0.0006, 0.1293, 0.1372)
Au (0.0000, 0.8747, 0.4166)
Au (0.0002, 0.6246, 0.6953)
Au (0.5030, 0.8871, 0.9240)
Au (0.0002, 0.3768, 0.1919)
Au (0.4998, 0.1251, 0.1924)
Au (0.9998, 0.1247, 0.3605)
Au (0.0002, 0.8755, 0.7512)
Au (0.0000, 0.8752, 0.5281)
Au (0.0000, 0.1248, 0.4719)

***

Density functional theory data (PBE-GGA) for crystalline NpZn2 at its relaxed geometry.

The calculation puts the total DFT energy (no corrections) at -5.049 eV/atom.

abc: 12.0742 8.4632 4.4915
angles: 90.00 90.00 67.88
Positions (direct):
Zn (0.8948, 0.5786, 0.5000)
Zn (0.5554, 0.3448, 0.5000)
Zn (0.2996, 0.7820, 0.0000)
Np (0.3895, 0.1432, 0.5000)
Np (0.7896, 0.0789, 0.5000)
Np (0.4047, 0.2824, 0.0000)
Zn (0.0016, 0.3972, 0.0000)
Np (0.3007, 0.5495, 0.5000)
Np (0.1905, 0.3568, 0.5000)
Zn (0.6388, 0.0166, 0.0000)
Np (0.8934, 0.8121, 0.0000)
Zn (0.5295, 0.5364, 0.0000)
Zn (0.9727, 0.2484, 0.5000)
Np (0.8049, 0.2180, 0.0000)
Zn (0.0507, 0.7632, 0.5000)
Zn (0.4665, 0.7414, 0.5000)
Zn (0.1433, 0.5978, 0.0000)
Zn (0.4842, 0.8857, 0.0000)
Zn (0.7102, 0.4753, 0.5000)
Np (0.0042, 0.0043, 0.0000)
Zn (0.1933, 0.9634, 0.5000)
Zn (0.2223, 0.1122, 0.0000)
Zn (0.6649, 0.8250, 0.5000)
Zn (0.7277, 0.6199, 0.0000)

***

Density functional theory data (PBE-GGA) for crystalline In2Co2W3 at its relaxed geometry.

The calculation puts the total DFT energy (no corrections) at -8.066 eV/atom.

abc: 7.0324 7.0324 7.0324
angles: 36.28 36.28 36.28
Positions (direct):
W (0.9198, 0.9198, 0.9198)
In (0.1899, 0.1899, 0.1899)
Co (0.0455, 0.0455, 0.0455)
In (0.7679, 0.7679, 0.7679)
W (0.3429, 0.3429, 0.3429)
W (0.6251, 0.6251, 0.6251)
Co (0.4838, 0.4838, 0.4838)

***

Density functional theory data (PBE-GGA) for crystalline BeW at its relaxed geometry.

The calculation puts the total DFT energy (no corrections) at -7.954 eV/atom.

abc: 3.2565 3.2565 3.2565
angles: 60.00 60.00 60.00
Positions (direct):
W (0.5000, 0.5000, 0.5000)
Be (0.0000, 0.0000, 0.0000)

***

Density functional theory data (PBE-GGA) for crystalline NaTcNiSe3 at its relaxed geometry.

The calculation puts the total DFT energy (no corrections) at -5.050 eV/atom.

abc: 7.2227 7.2227 9.5145
angles: 90.00 90.00 151.49
Positions (direct):
Tc (0.5000, 0.5000, 0.5000)
Se (0.5790, 0.4210, 0.7500)
Se (0.8738, 0.1262, 0.9459)
Na (0.7431, 0.2569, 0.2500)
Ni (0.0292, 0.9708, 0.2500)
Tc (0.5000, 0.5000, 0.0000)
Na (0.2569, 0.7431, 0.7500)
Se (0.4210, 0.5790, 0.2500)
Se (0.8738, 0.1262, 0.5541)
Ni (0.9708, 0.0292, 0.7500)
Se (0.1262, 0.8738, 0.0541)
Se (0.1262, 0.8738, 0.4459)

***

Density functional theory data (PBE-GGA) for crystalline SmOF at its relaxed geometry.

The calculation puts the total DFT energy (no corrections) at -7.620 eV/atom.

abc: 6.1540 3.7384 6.8225
angles: 90.00 90.00 90.00
Positions (direct):
O (0.3497, 0.2500, 0.5808)
Sm (0.2230, 0.2500, 0.8993)
Sm (0.7230, 0.2500, 0.6007)
Sm (0.7770, 0.7500, 0.1007)
F (0.9778, 0.2500, 0.3371)
O (0.8497, 0.2500, 0.9192)
F (0.4778, 0.2500, 0.1629)
O (0.1503, 0.7500, 0.0808)
F (0.5222, 0.7500, 0.8371)
Sm (0.2770, 0.7500, 0.3993)
F (0.0222, 0.7500, 0.6629)
O (0.6503, 0.7500, 0.4192)

***

Density functional theory data (PBE-GGA) for crystalline CsBaTbTe3 at its relaxed geometry.

The calculation puts the total DFT energy (no corrections) at -4.066 eV/atom.

abc: 11.5352 11.5352 13.4159
angles: 90.00 90.00 156.56
Positions (direct):
Cs (0.3561, 0.6439, 0.2500)
Te (0.5928, 0.4072, 0.0043)
Tb (0.0000, 0.0000, 0.0000)
Te (0.4072, 0.5928, 0.9957)
Tb (0.0000, 0.0000, 0.5000)
Te (0.9866, 0.0134, 0.2500)
Cs (0.6439, 0.3561, 0.7500)
Te (0.4072, 0.5928, 0.5043)
Te (0.5928, 0.4072, 0.4957)
Ba (0.4107, 0.5893, 0.7500)
Ba (0.5893, 0.4107, 0.2500)
Te (0.0134, 0.9866, 0.7500)

***

Density functional theory data (PBE-GGA) for crystalline Tb2FeSn6 at its relaxed geometry.

The calculation puts the total DFT energy (no corrections) at -4.989 eV/atom.

abc: 11.6861 11.6861 4.4596
angles: 90.00 90.00 158.33
Positions (direct):
Sn (0.4304, 0.5696, 0.0000)
Tb (0.3222, 0.6778, 0.5000)
Sn (0.9303, 0.0697, 0.5000)
Tb (0.6778, 0.3222, 0.5000)
Sn (0.2051, 0.7949, 0.0000)
Sn (0.7949, 0.2051, 0.0000)
Fe (0.0000, 0.0000, 0.0000)
Sn (0.0697, 0.9303, 0.5000)
Sn (0.5696, 0.4304, 0.0000)

***

total DFT energy (no corrections) of number 9 (SmOF)? -7.620 eV/atom